! PBE Hf2Se2Cl, optimized geometry; values from VASP
&SYSTEM
  ibrav = 0, nat = 10, ntyp = 3
/
ATOMIC_SPECIES
Hf 178.49 Hf.upf
Se 78.96 Se.upf
Cl 35.45 Cl.upf
ATOMIC_POSITIONS crystal
Hf 0.359 0.859 0.000
Hf 0.859 0.641 0.000
Hf 0.641 0.141 0.000
Hf 0.141 0.359 0.000
Se 0.146 0.646 0.500
Se 0.646 0.854 0.500
Se 0.854 0.354 0.500
Se 0.354 0.146 0.500
Cl 0.000 0.000 0.000
Cl 0.500 0.500 0.000
CELL_PARAMETERS angstrom
7.638 0.000 0.000
0.000 7.638 0.000
0.000 0.000 3.412
! Density ... 9.18 g/cm³
! Volume ... 199 Å³ per cell
! Calculated total energy ... -67.5 eV/cell
! Spin magnetization ... 0.0 μB per cell

! PBE CsCaInCl4, optimized geometry; values from VASP
&SYSTEM
  ibrav = 0, nat = 7, ntyp = 4
/
ATOMIC_SPECIES
Cs 132.91 Cs.upf
Ca 40.08 Ca.upf
In 114.82 In.upf
Cl 35.45 Cl.upf
ATOMIC_POSITIONS crystal
Cs 0.642 0.642 0.285
Ca 0.000 0.000 0.000
In 0.349 0.349 0.697
Cl 0.000 0.500 0.000
Cl 0.500 0.000 0.000
Cl 0.840 0.840 0.679
Cl 0.169 0.169 0.339
CELL_PARAMETERS angstrom
5.402 0.000 0.000
0.000 5.402 0.000
-2.701 -2.701 8.381
! Density ... 2.92 g/cm³
! Volume ... 245 Å³ per cell
! Calculated total energy ... -25.7 eV/cell
! Spin magnetization ... 0.0 μB per cell

! PBE K2BaNaSe, optimized geometry; values from VASP
&SYSTEM
  ibrav = 0, nat = 5, ntyp = 4
/
ATOMIC_SPECIES
Na 22.99 Na.upf
K 39.10 K.upf
Ba 137.33 Ba.upf
Se 78.96 Se.upf
ATOMIC_POSITIONS crystal
Na 0.500 0.500 0.500
K 0.000 0.500 0.000
K 0.500 0.000 0.000
Ba 0.000 0.000 0.500
Se 0.000 0.000 0.000
CELL_PARAMETERS angstrom
6.473 0.000 0.000
0.000 6.473 0.000
0.000 0.000 6.348
! Density ... 1.98 g/cm³
! Volume ... 266 Å³ per cell
! Calculated total energy ... -12.1 eV/cell
! Spin magnetization ... 0.0 μB per cell

! PBE Li7InPd3, optimized geometry; values from VASP
&SYSTEM
  ibrav = 0, nat = 11, ntyp = 3
/
ATOMIC_SPECIES
Li 6.94 Li.upf
In 114.82 In.upf
Pd 106.42 Pd.upf
ATOMIC_POSITIONS crystal
Li 0.159 0.165 0.165
Li 0.321 0.036 0.606
Li 0.679 0.394 0.964
Li 0.321 0.606 0.036
Li 0.000 0.500 0.500
Li 0.679 0.964 0.394
Li 0.841 0.835 0.835
In 0.500 0.500 0.500
Pd 0.000 0.768 0.232
Pd 0.500 0.000 0.000
Pd 0.000 0.232 0.768
CELL_PARAMETERS angstrom
4.756 -0.057 -0.073
-2.230 6.189 0.584
-2.230 -0.934 6.146
! Formation energy ... -0.217 eV/atom
! Density ... 4.41 g/cm³
! Volume ... 182 Å³ per cell
! Calculated total energy ... -34.1 eV/cell
! Spin magnetization ... 0.0 μB per cell